Entry 1:
Compound: Ag3HO
Source: Alexandria
Functional: PBE
Structure: optimized geometry

```
Ag3HO
1.0
4.0616 0.0000 0.0000
0.0000 4.0616 0.0000
0.0000 0.0000 4.0616
H O Ag
1 1 3
direct
0.0000 0.0000 0.0000
0.5000 0.5000 0.5000
0.0000 0.5000 0.0000
0.0000 0.0000 0.5000
0.5000 0.0000 0.0000
```

Output
SG ... Pm-3m, No. 221
Energy above the most stable polymorph in this dataset ... 0.000 eV/atom

=====

Entry 2:
Compound: Rb2PH4
Source: Alexandria
Functional: PBE
Structure: optimized geometry

```
Rb2PH4
1.0
5.6522 0.0000 0.0000
0.0000 5.6522 0.0000
-2.8261 -2.8261 4.2761
Rb P H
2 1 4
direct
0.7500 0.2500 0.5000
0.2500 0.7500 0.5000
0.5000 0.5000 0.0000
0.6967 0.3033 0.0000
0.3033 0.6967 0.0000
0.6967 0.6967 0.0000
0.3033 0.3033 0.0000
```

Output
E ... -2.99 eV/atom
SG ... I4/mmm, No. 139

=====

Entry 3:
Compound: Sc2BeOs
Source: Alexandria
Functional: PBE
Structure: optimized geometry

```
Sc2BeOs
1.0
-3.8903 2.0249 0.8262
-3.3046 -2.2432 1.9912
-1.1550 0.9869 4.1963
Sc Be Os
2 1 1
direct
0.0000 0.0000 0.0000
0.7500 0.7500 0.7500
0.5000 0.5000 0.5000
0.2500 0.2500 0.2500
```

Output
DFT formation energy ... -0.040 eV/atom
SG ... F-43m, No. 216

=====

Entry 4:
Compound: CrAu2
Source: Alexandria
Functional: PBE
Structure: optimized geometry

```
CrAu2
1.0
-2.4786 -1.3213 3.7069
1.6147 -3.1896 -2.9749
4.6958 -0.4138 2.9924
Cr Au
2 4
direct
0.3333 0.6667 0.7500
0.6667 0.3333 0.2500
0.0000 0.0000 0.0000
0.0000 0.0000 0.5000
0.3333 0.6667 0.2500
0.6667 0.3333 0.7500
```

Output
DFT formation energy ... 0.138 eV/atom
SG ... P6_3/mmc, No. 194

=====

Entry 5:
Compound: U2InNi2S6
Source: Alexandria
Functional: PBE
Structure: optimized geometry

```
U2InNi2S6
1.0
-6.5854 -1.3242 0.8102
-3.8713 -1.3796 -5.5567
2.3202 -5.3306 4.9849
U In Ni S
2 1 2 6
direct
0.8246 0.3223 0.8216
0.1754 0.6777 0.1784
0.5000 0.0000 0.5000
0.1851 0.7753 0.8348
0.8149 0.2247 0.1652
0.4208 0.8009 0.0463
0.9569 0.4540 0.1846
0.1986 0.8171 0.5783
0.0431 0.5460 0.8154
0.8014 0.1829 0.4217
0.5792 0.1991 0.9537
```

Output
SG ... P-1, No. 2
Formation energy from raw total energies ... -9.2 eV/f.u.